Entry from Alexandria via LeMat-Bulk: a geometry-optimized Na3ScC structure (PBE-GGA).

Results
- Offset from the most stable computed form: 0.000 eV per formula unit
- D(E_F): 6.91 states/eV/cell
- Total energy: -2.7236 eV per atom

Cell lengths 4.9504, 4.9504, 4.9504 Å; angles 90.00, 90.00, 90.00 degrees
Fractional coordinates of all 5 atoms:
1 Na 0.0000 0.5000 0.0000
2 Na 0.0000 0.0000 0.5000
3 Na 0.5000 0.0000 0.0000
4 C 0.0000 0.0000 0.0000
5 Sc 0.5000 0.5000 0.5000